A plane-wave DFT calculation with PBE was carried out for a relaxed structure of Ta2CrTe.

a b c (Å): 4.5332 4.5332 3.4260
angles (deg): 90.00 90.00 90.00
Space group P4/mmm (No. 123)
Asymmetric unit:
Ta (0.0000, 0.5000, 0.0000)
Cr (0.0000, 0.0000, 0.5000)
Te (0.5000, 0.5000, 0.5000)

Theoretical density ... 12771 kg/m³
Crystal system ... tetragonal
Final energy ... -0.3198 Ha/atom
ΔE_f (raw) ... 0.41 eV/atom

A plane-wave DFT calculation with PBE was carried out for a relaxed structure of TaCrTe2.

a b c (Å): 6.3705 6.3705 12.3243
angles (deg): 90.00 90.00 90.00
Space group I-42d (No. 122)
Asymmetric unit:
Ta (0.0000, 0.0000, 0.0000)
Cr (0.0000, 0.0000, 0.5000)
Te (0.2495, 0.2500, 0.1250)

Theoretical density ... 6483 kg/m³
Energy relative to the lowest polymorph listed for this composition ... 2.39 eV per formula unit
Crystal system ... tetragonal
Final energy ... -0.2368 Ha/atom
ΔE_f (raw) ... 0.50 eV/atom